Computed, not measured: an optimized crystal structure of LaZnOs2 at the PBE-GGA level of DFT.

Geometry as CIF:
```
data_LaZnOs2
_chemical_formula_sum 'La1 Zn1 Os2'
_cell_length_a 2.871
_cell_length_b 3.704
_cell_length_c 7.180
_cell_angle_alpha 90.00
_cell_angle_beta 90.09
_cell_angle_gamma 90.00
_space_group_name_H-M_alt 'P 1 m 1'
_space_group_IT_number 6
loop_
_space_group_symop_operation_xyz
'x,y,z'
'x,-y,z'
loop_
_atom_site_label
_atom_site_fract_x
_atom_site_fract_y
_atom_site_fract_z
La1 0.000 0.000 0.000
Zn1 0.500 0.500 0.312
Os1 0.001 0.000 0.531
Os2 0.501 0.500 0.683
```

- DFT formation energy (meV/atom) = 155
- mass density (g/cm³) = 12.72
- volume (Å³ per atom) = 19.085


Computed, not measured: an optimized crystal structure of BaTa2In at the PBE-GGA level of DFT.

Geometry as CIF:
```
data_BaTa2In
_chemical_formula_sum 'Ba1 Ta2 In1'
_cell_length_a 3.010
_cell_length_b 3.010
_cell_length_c 10.506
_cell_angle_alpha 90.00
_cell_angle_beta 90.00
_cell_angle_gamma 90.00
_space_group_name_H-M_alt 'P 4/m m m'
_space_group_IT_number 123
_space_group_name_Hall '-P 4 2'
loop_
_atom_site_label
_atom_site_fract_x
_atom_site_fract_y
_atom_site_fract_z
Ba1 0.000 0.000 0.000
Ta1 0.500 0.500 0.289
In1 0.000 0.000 0.500
```

- DFT formation energy (meV/atom) = 811
- mass density (g/cm³) = 10.72
- relative energy among the computed polymorphs (eV/f.u.) = 1.71
- volume (Å³ per atom) = 23.789


Computed, not measured: an optimized crystal structure of Si2CCl at the PBE-GGA level of DFT.

Geometry as CIF:
```
data_Si2CCl
_chemical_formula_sum 'Si8 C4 Cl4'
_cell_length_a 4.751
_cell_length_b 4.751
_cell_length_c 11.859
_cell_angle_alpha 90.00
_cell_angle_beta 90.00
_cell_angle_gamma 90.00
_space_group_name_H-M_alt 'I -4 2 d'
_space_group_IT_number 122
_space_group_name_Hall 'I -4 2bw'
loop_
_atom_site_label
_atom_site_fract_x
_atom_site_fract_y
_atom_site_fract_z
Si1 0.082 0.250 0.125
C1 0.000 0.000 0.000
Cl1 0.000 0.000 0.500
```

- mass density (g/cm³) = 2.57
- relative energy among the computed polymorphs (eV/f.u.) = 0.00
- volume (Å³ per atom) = 16.731
- formation energy without anion corrections (eV/atom) = 0.703


Computed, not measured: an optimized crystal structure of Sb3PbSe6 at the PBE-GGA level of DFT.

Geometry as CIF:
```
data_Sb3PbSe6
_chemical_formula_sum 'Sb6 Pb2 Se12'
_cell_length_a 12.322
_cell_length_b 4.035
_cell_length_c 12.562
_cell_angle_alpha 90.00
_cell_angle_beta 111.35
_cell_angle_gamma 90.00
_space_group_name_H-M_alt 'P 1 21/m 1'
_space_group_IT_number 11
loop_
_space_group_symop_operation_xyz
'x,y,z'
'-x,-y,-z'
'-x,y+1/2,-z'
'x,-y+1/2,z'
loop_
_atom_site_label
_atom_site_fract_x
_atom_site_fract_y
_atom_site_fract_z
Sb1 0.056 0.250 0.301
Sb2 0.350 0.750 0.449
Sb3 0.398 0.250 0.853
Pb1 0.190 0.750 0.014
Se1 0.009 0.250 0.880
Se2 0.137 0.750 0.472
Se3 0.234 0.750 0.788
Se4 0.259 0.250 0.270
Se5 0.406 0.250 0.069
Se6 0.436 0.250 0.615
```

- mass density (g/cm³) = 5.97
- volume (Å³ per atom) = 29.088
- formation energy without anion corrections (eV/atom) = -0.275


Computed, not measured: an optimized crystal structure of CsZnAu3 at the PBE-GGA level of DFT.

Geometry as CIF:
```
data_CsZnAu3
_chemical_formula_sum 'Cs1 Zn1 Au3'
_cell_length_a 6.206
_cell_length_b 6.206
_cell_length_c 6.206
_cell_angle_alpha 90.00
_cell_angle_beta 90.00
_cell_angle_gamma 90.00
_space_group_name_H-M_alt 'P m -3 m'
_space_group_IT_number 221
_space_group_name_Hall '-P 4 2 3'
loop_
_atom_site_label
_atom_site_fract_x
_atom_site_fract_y
_atom_site_fract_z
Cs1 0.000 0.000 0.000
Zn1 0.500 0.500 0.500
Au1 0.000 0.000 0.500
```

- DFT formation energy (meV/atom) = 1224
- mass density (g/cm³) = 5.48
- relative energy among the computed polymorphs (eV/f.u.) = 7.05
- volume (Å³ per atom) = 47.795


Computed, not measured: an optimized crystal structure of CoCuPb2 at the PBE-GGA level of DFT.

Geometry as CIF:
```
data_CoCuPb2
_chemical_formula_sum 'Co1 Cu1 Pb2'
_cell_length_a 4.856
_cell_length_b 4.856
_cell_length_c 3.341
_cell_angle_alpha 90.00
_cell_angle_beta 90.00
_cell_angle_gamma 90.00
_space_group_name_H-M_alt 'P 4/m m m'
_space_group_IT_number 123
_space_group_name_Hall '-P 4 2'
loop_
_atom_site_label
_atom_site_fract_x
_atom_site_fract_y
_atom_site_fract_z
Co1 0.000 0.000 0.000
Cu1 0.500 0.500 0.000
Pb1 0.000 0.500 0.500
```

- DFT formation energy (meV/atom) = 486
- mass density (g/cm³) = 11.32
- relative energy among the computed polymorphs (eV/f.u.) = 0.72
- volume (Å³ per atom) = 19.695


Computed, not measured: an optimized crystal structure of MgNbRu2Se at the PBE-GGA level of DFT.

Geometry as CIF:
```
data_MgNbRu2Se
_chemical_formula_sum 'Mg1 Nb1 Ru2 Se1'
_cell_length_a 4.682
_cell_length_b 4.682
_cell_length_c 5.335
_cell_angle_alpha 90.00
_cell_angle_beta 90.00
_cell_angle_gamma 90.00
_space_group_name_H-M_alt 'P 4/m m m'
_space_group_IT_number 123
_space_group_name_Hall '-P 4 2'
loop_
_atom_site_label
_atom_site_fract_x
_atom_site_fract_y
_atom_site_fract_z
Mg1 0.000 0.000 0.000
Nb1 0.000 0.000 0.500
Ru1 0.000 0.500 0.500
Se1 0.500 0.500 0.000
```

- mass density (g/cm³) = 5.66
- volume (Å³ per atom) = 23.388
- formation energy without anion corrections (eV/atom) = 1.282


Computed, not measured: an optimized crystal structure of SrB2O8 at the PBE-GGA level of DFT.

Geometry as CIF:
```
data_SrB2O8
_chemical_formula_sum 'Sr2 B4 O16'
_cell_length_a 6.583
_cell_length_b 6.599
_cell_length_c 8.401
_cell_angle_alpha 67.93
_cell_angle_beta 67.30
_cell_angle_gamma 64.65
_space_group_name_H-M_alt 'P -1'
_space_group_IT_number 2
loop_
_space_group_symop_operation_xyz
'x,y,z'
'-x,-y,-z'
loop_
_atom_site_label
_atom_site_fract_x
_atom_site_fract_y
_atom_site_fract_z
Sr1 0.242 0.257 0.250
B1 0.083 0.076 0.781
B2 0.425 0.415 0.719
O1 0.042 0.706 0.172
O2 0.060 0.072 0.136
O3 0.122 0.118 0.593
O4 0.208 0.541 0.673
O5 0.308 0.946 0.815
O6 0.383 0.377 0.907
O7 0.423 0.445 0.364
O8 0.445 0.810 0.315
```

- mass density (g/cm³) = 2.68
- volume (Å³ per atom) = 13.381
- formation energy without anion corrections (eV/atom) = -0.972


Computed, not measured: an optimized crystal structure of Tb2Dy6TmTh at the PBE-GGA level of DFT.

Geometry as CIF:
```
data_Tb2Dy6TmTh
_chemical_formula_sum 'Tb8 Dy24 Tm4 Th4'
_cell_length_a 9.215
_cell_length_b 14.940
_cell_length_c 9.342
_cell_angle_alpha 90.00
_cell_angle_beta 95.39
_cell_angle_gamma 90.00
_space_group_name_H-M_alt 'C 1 2/c 1'
_space_group_IT_number 15
loop_
_space_group_symop_operation_xyz
'x,y,z'
'-x,-y,-z'
'-x,y,-z+1/2'
'x,-y,z+1/2'
'x+1/2,y+1/2,z'
'-x+1/2,-y+1/2,-z'
'-x+1/2,y+1/2,-z+1/2'
'x+1/2,-y+1/2,z+1/2'
loop_
_atom_site_label
_atom_site_fract_x
_atom_site_fract_y
_atom_site_fract_z
Tb1 0.246 0.051 0.446
Dy1 0.057 0.321 0.941
Dy2 0.097 0.114 0.112
Dy3 0.209 0.279 0.313
Tm1 0.000 0.089 0.750
Th1 0.000 0.468 0.250
```

- DFT formation energy (meV/atom) = 151
- mass density (g/cm³) = 8.79
- volume (Å³ per atom) = 32.010


Computed, not measured: an optimized crystal structure of Zn6RhAu2 at the PBE-GGA level of DFT.

Geometry as CIF:
```
data_Zn6RhAu2
_chemical_formula_sum 'Zn12 Rh2 Au4'
_cell_length_a 10.756
_cell_length_b 6.982
_cell_length_c 4.471
_cell_angle_alpha 90.00
_cell_angle_beta 114.18
_cell_angle_gamma 90.00
_space_group_name_H-M_alt 'C 1 2/m 1'
_space_group_IT_number 12
loop_
_space_group_symop_operation_xyz
'x,y,z'
'-x,-y,-z'
'-x,y,-z'
'x,-y,z'
'x+1/2,y+1/2,z'
'-x+1/2,-y+1/2,-z'
'-x+1/2,y+1/2,-z'
'x+1/2,-y+1/2,z'
loop_
_atom_site_label
_atom_site_fract_x
_atom_site_fract_y
_atom_site_fract_z
Zn1 0.000 0.197 0.000
Zn2 0.149 0.304 0.648
Rh1 0.000 0.000 0.500
Au1 0.188 0.500 0.187
```

- DFT formation energy (meV/atom) = -154
- mass density (g/cm³) = 9.64
- relative energy among the computed polymorphs (eV/f.u.) = 0.91
- volume (Å³ per atom) = 17.019


Computed, not measured: an optimized crystal structure of PrMg3Tl2F12 at the PBE-GGA level of DFT.

Geometry as CIF:
```
data_PrMg3Tl2F12
_chemical_formula_sum 'Pr3 Mg9 Tl6 F36'
_cell_length_a 7.4878
_cell_length_b 7.4878
_cell_length_c 15.6457
_cell_angle_alpha 90.00
_cell_angle_beta 90.00
_cell_angle_gamma 120.00
_space_group_name_H-M_alt 'R -3 m'
_space_group_IT_number 166
_space_group_name_Hall '-R 3 2"'
loop_
_atom_site_label
_atom_site_fract_x
_atom_site_fract_y
_atom_site_fract_z
Pr1 0.0000 0.0000 0.0000
Mg1 0.0000 0.5000 0.5000
Tl1 0.0000 0.0000 0.3925
F1 0.0496 0.5248 0.3740
F2 0.0950 0.5475 0.8017
```

- mass density (g/cm³) = 5.58
- volume (Å³ per atom) = 14.068
- formation energy without anion corrections (eV/atom) = -3.110


One value per record, in order, for total magnetization: 0.00 0.00 0.00 0.00 0.00 1.20 1.25 16.00 0.00 0.00 1.56 Bohr magnetons per cell.